# 1
# GGA-PBE Sm8Al2Co, relaxed
# **VASP energy**: -4.8864 eV/atom
# **DOS(E_F)**: 20.29 states/eV/cell
data_Sm8Al2Co
_chemical_formula_sum 'Sm16 Al4 Co2'
_cell_length_a 18.312
_cell_length_b 5.108
_cell_length_c 6.760
_cell_angle_alpha 90.00
_cell_angle_beta 102.28
_cell_angle_gamma 90.00
_space_group_name_H-M_alt 'C 1 2/m 1'
_space_group_IT_number 12
loop_
_space_group_symop_operation_xyz
'x,y,z'
'-x,-y,-z'
'-x,y,-z'
'x,-y,z'
'x+1/2,y+1/2,z'
'-x+1/2,-y+1/2,-z'
'-x+1/2,y+1/2,-z'
'x+1/2,-y+1/2,z'
loop_
_atom_site_label
_atom_site_fract_x
_atom_site_fract_y
_atom_site_fract_z
Sm1 0.018 0.000 0.280
Sm2 0.092 0.500 0.951
Sm3 0.147 0.500 0.468
Sm4 0.209 0.000 0.796
Al1 0.189 0.000 0.246
Co1 0.000 0.500 0.500


# 2
# GGA-PBE Er4In2Pb, relaxed
# **VASP energy**: -4.1844 eV/atom
# **DOS(E_F)**: 16.91 states/eV/cell
data_Er4In2Pb
_chemical_formula_sum 'Er12 In6 Pb3'
_cell_length_a 5.2286
_cell_length_b 5.2286
_cell_length_c 25.8207
_cell_angle_alpha 90.00
_cell_angle_beta 90.00
_cell_angle_gamma 120.00
_space_group_name_H-M_alt 'R -3 m'
_space_group_IT_number 166
_space_group_name_Hall '-R 3 2"'
loop_
_atom_site_label
_atom_site_fract_x
_atom_site_fract_y
_atom_site_fract_z
Er1 0.0000 0.0000 0.1190
Er2 0.0000 0.0000 0.3725
In1 0.0000 0.0000 0.2548
Pb1 0.0000 0.0000 0.5000


# 3
# GGA-PBE ZrAl2Cu, relaxed
# **VASP energy**: -5.2928 eV/atom
# **DOS(E_F)**: 2.28 states/eV/cell
data_ZrAl2Cu
_chemical_formula_sum 'Zr1 Al2 Cu1'
_cell_length_a 3.044
_cell_length_b 4.212
_cell_length_c 5.421
_cell_angle_alpha 90.00
_cell_angle_beta 98.34
_cell_angle_gamma 90.00
_space_group_name_H-M_alt 'P 1 2/m 1'
_space_group_IT_number 10
loop_
_space_group_symop_operation_xyz
'x,y,z'
'-x,-y,-z'
'-x,y,-z'
'x,-y,z'
loop_
_atom_site_label
_atom_site_fract_x
_atom_site_fract_y
_atom_site_fract_z
Zr1 0.000 0.000 0.000
Al1 0.405 0.500 0.740
Cu1 0.500 0.000 0.500


# 4
# GGA-PBE Th3Sn2Rh, relaxed
# **VASP energy**: -6.7605 eV/atom
# **DOS(E_F)**: 22.30 states/eV/cell
data_Th3Sn2Rh
_chemical_formula_sum 'Th12 Sn8 Rh4'
_cell_length_a 14.205
_cell_length_b 6.339
_cell_length_c 8.429
_cell_angle_alpha 90.00
_cell_angle_beta 107.27
_cell_angle_gamma 90.00
_space_group_name_H-M_alt 'C 1 2/c 1'
_space_group_IT_number 15
loop_
_space_group_symop_operation_xyz
'x,y,z'
'-x,-y,-z'
'-x,y,-z+1/2'
'x,-y,z+1/2'
'x+1/2,y+1/2,z'
'-x+1/2,-y+1/2,-z'
'-x+1/2,y+1/2,-z+1/2'
'x+1/2,-y+1/2,z+1/2'
loop_
_atom_site_label
_atom_site_fract_x
_atom_site_fract_y
_atom_site_fract_z
Th1 0.000 0.001 0.250
Th2 0.140 0.500 0.070
Sn1 0.180 0.000 0.090
Rh1 0.000 0.500 0.250


# 5
# GGA-PBE Pm3Zn3Ga, relaxed
# **VASP energy**: -3.3882 eV/atom
# **DOS(E_F)**: 13.24 states/eV/cell
data_Pm3Zn3Ga
_chemical_formula_sum 'Pm6 Zn6 Ga2'
_cell_length_a 3.705
_cell_length_b 4.510
_cell_length_c 19.806
_cell_angle_alpha 90.00
_cell_angle_beta 90.00
_cell_angle_gamma 90.00
_space_group_name_H-M_alt 'I m m 2'
_space_group_IT_number 44
loop_
_space_group_symop_operation_xyz
'x,y,z'
'-x,-y,z'
'-x,y,z'
'x,-y,z'
'x+1/2,y+1/2,z+1/2'
'-x+1/2,-y+1/2,z+1/2'
'-x+1/2,y+1/2,z+1/2'
'x+1/2,-y+1/2,z+1/2'
loop_
_atom_site_label
_atom_site_fract_x
_atom_site_fract_y
_atom_site_fract_z
Pm1 0.000 0.000 0.000
Pm2 0.000 0.000 0.382
Pm3 0.000 0.500 0.192
Zn1 0.000 0.000 0.555
Zn2 0.000 0.000 0.828
Zn3 0.000 0.500 0.625
Ga1 0.000 0.500 0.755


# 6
# GGA-PBE NaPr2Si, relaxed
# **Formation energy without anion corrections**: -0.109 eV/atom
# **VASP energy**: -4.1841 eV/atom
# **DOS(E_F)**: 12.44 states/eV/cell
data_NaPr2Si
_chemical_formula_sum 'Na3 Pr6 Si3'
_cell_length_a 4.0997
_cell_length_b 4.0997
_cell_length_c 33.0735
_cell_angle_alpha 90.00
_cell_angle_beta 90.00
_cell_angle_gamma 120.00
_space_group_name_H-M_alt 'R -3 m'
_space_group_IT_number 166
_space_group_name_Hall '-R 3 2"'
loop_
_atom_site_label
_atom_site_fract_x
_atom_site_fract_y
_atom_site_fract_z
Na1 0.0000 0.0000 0.0000
Pr1 0.0000 0.0000 0.1160
Si1 0.0000 0.0000 0.5000


# 7
# GGA-PBE Tm6InCu5, relaxed
# **VASP energy**: -4.4624 eV/atom
# **DOS(E_F)**: 12.39 states/eV/cell
data_Tm6InCu5
_chemical_formula_sum 'Tm12 In2 Cu10'
_cell_length_a 15.425
_cell_length_b 7.048
_cell_length_c 4.889
_cell_angle_alpha 90.00
_cell_angle_beta 108.40
_cell_angle_gamma 90.00
_space_group_name_H-M_alt 'C 1 2/m 1'
_space_group_IT_number 12
loop_
_space_group_symop_operation_xyz
'x,y,z'
'-x,-y,-z'
'-x,y,-z'
'x,-y,z'
'x+1/2,y+1/2,z'
'-x+1/2,-y+1/2,-z'
'-x+1/2,y+1/2,-z'
'x+1/2,-y+1/2,z'
loop_
_atom_site_label
_atom_site_fract_x
_atom_site_fract_y
_atom_site_fract_z
Tm1 0.000 0.233 0.000
Tm2 0.172 0.241 0.672
In1 0.000 0.500 0.500
Cu1 0.000 0.000 0.500
Cu2 0.159 0.500 0.160
Cu3 0.166 0.000 0.167


# 8
# GGA-PBE Ni3Mo, relaxed
# **VASP energy**: -7.0840 eV/atom
# **DOS(E_F)**: 1.77 states/eV/cell
data_Ni3Mo
_chemical_formula_sum 'Ni6 Mo2'
_cell_length_a 4.597
_cell_length_b 4.597
_cell_length_c 4.597
_cell_angle_alpha 90.00
_cell_angle_beta 90.00
_cell_angle_gamma 90.00
_space_group_name_H-M_alt 'P m -3 n'
_space_group_IT_number 223
_space_group_name_Hall '-P 4n 2 3'
loop_
_atom_site_label
_atom_site_fract_x
_atom_site_fract_y
_atom_site_fract_z
Ni1 0.000 0.250 0.500
Mo1 0.000 0.000 0.000


# 9
# GGA-PBE Nd2DyY2Er, relaxed
# **VASP energy**: -5.0187 eV/atom
# **DOS(E_F)**: 17.74 states/eV/cell
data_Nd2DyY2Er
_chemical_formula_sum 'Nd4 Dy2 Y4 Er2'
_cell_length_a 6.660
_cell_length_b 17.712
_cell_length_c 3.396
_cell_angle_alpha 90.00
_cell_angle_beta 90.00
_cell_angle_gamma 90.00
_space_group_name_H-M_alt 'P n n m'
_space_group_IT_number 58
loop_
_space_group_symop_operation_xyz
'x,y,z'
'-x,-y,-z'
'-x,-y,z'
'x,y,-z'
'x+1/2,-y+1/2,-z+1/2'
'-x+1/2,y+1/2,z+1/2'
'-x+1/2,y+1/2,-z+1/2'
'x+1/2,-y+1/2,z+1/2'
loop_
_atom_site_label
_atom_site_fract_x
_atom_site_fract_y
_atom_site_fract_z
Nd1 0.237 0.149 0.000
Dy1 0.000 0.000 0.500
Y1 0.241 0.322 0.500
Er1 0.000 0.500 0.500


# 10
# GGA-PBE YTm5Pd4, relaxed
# **VASP energy**: -5.6978 eV/atom
# **DOS(E_F)**: 10.45 states/eV/cell
data_YTm5Pd4
_chemical_formula_sum 'Y1 Tm5 Pd4'
_cell_length_a 3.477
_cell_length_b 3.477
_cell_length_c 18.955
_cell_angle_alpha 90.00
_cell_angle_beta 90.00
_cell_angle_gamma 90.00
_space_group_name_H-M_alt 'P 4/m m m'
_space_group_IT_number 123
_space_group_name_Hall '-P 4 2'
loop_
_atom_site_label
_atom_site_fract_x
_atom_site_fract_y
_atom_site_fract_z
Y1 0.000 0.000 0.000
Tm1 0.500 0.500 0.137
Tm2 0.500 0.500 0.318
Tm3 0.500 0.500 0.500
Pd1 0.000 0.000 0.227
Pd2 0.000 0.000 0.408


# 11
# GGA-PBE ZnAuSe2, relaxed
# **Formation energy without anion corrections**: 0.350 eV/atom
# **VASP energy**: -2.5299 eV/atom
# **DOS(E_F)**: 8.62 states/eV/cell
data_ZnAuSe2
_chemical_formula_sum 'Zn4 Au4 Se8'
_cell_length_a 6.756
_cell_length_b 6.756
_cell_length_c 6.756
_cell_angle_alpha 90.00
_cell_angle_beta 90.00
_cell_angle_gamma 90.00
_space_group_name_H-M_alt 'F -4 3 m'
_space_group_IT_number 216
_space_group_name_Hall 'F -4 2 3'
loop_
_atom_site_label
_atom_site_fract_x
_atom_site_fract_y
_atom_site_fract_z
Zn1 0.000 0.000 0.000
Au1 0.250 0.250 0.250
Se1 0.000 0.000 0.500
Se2 0.250 0.250 0.750


# 12
# GGA-PBE La4Nd3Hg3N2, relaxed
# **Formation energy without anion corrections**: -0.722 eV/atom
# **VASP energy**: -5.0192 eV/atom
# **DOS(E_F)**: 17.87 states/eV/cell
data_La4Nd3Hg3N2
_chemical_formula_sum 'La8 Nd6 Hg6 N4'
_cell_length_a 5.129
_cell_length_b 5.153
_cell_length_c 25.035
_cell_angle_alpha 90.00
_cell_angle_beta 90.00
_cell_angle_gamma 90.00
_space_group_name_H-M_alt 'I m m m'
_space_group_IT_number 71
_space_group_name_Hall '-I 2 2'
loop_
_atom_site_label
_atom_site_fract_x
_atom_site_fract_y
_atom_site_fract_z
La1 0.000 0.000 0.096
La2 0.000 0.500 0.199
Nd1 0.000 0.000 0.404
Nd2 0.000 0.500 0.000
Hg1 0.000 0.500 0.326
Hg2 0.000 0.500 0.500
N1 0.000 0.500 0.102


# 13
# GGA-PBE ScAl2Hg, relaxed
# **VASP energy**: -3.6170 eV/atom
# **DOS(E_F)**: 7.78 states/eV/cell
data_ScAl2Hg
_chemical_formula_sum 'Sc4 Al8 Hg4'
_cell_length_a 6.776
_cell_length_b 6.776
_cell_length_c 6.776
_cell_angle_alpha 90.00
_cell_angle_beta 90.00
_cell_angle_gamma 90.00
_space_group_name_H-M_alt 'F -4 3 m'
_space_group_IT_number 216
_space_group_name_Hall 'F -4 2 3'
loop_
_atom_site_label
_atom_site_fract_x
_atom_site_fract_y
_atom_site_fract_z
Sc1 0.000 0.000 0.000
Al1 0.000 0.000 0.500
Al2 0.250 0.250 0.750
Hg1 0.250 0.250 0.250


# 14
# GGA-PBE Be2Se, relaxed
# **Formation energy without anion corrections**: -0.141 eV/atom
# **VASP energy**: -3.7871 eV/atom
# **DOS(E_F)**: 0.16 states/eV/cell
data_Be2Se
_chemical_formula_sum 'Be4 Se2'
_cell_length_a 5.359
_cell_length_b 3.556
_cell_length_c 6.422
_cell_angle_alpha 90.00
_cell_angle_beta 104.09
_cell_angle_gamma 90.00
_space_group_name_H-M_alt 'P 1 21/m 1'
_space_group_IT_number 11
loop_
_space_group_symop_operation_xyz
'x,y,z'
'-x,-y,-z'
'-x,y+1/2,-z'
'x,-y+1/2,z'
loop_
_atom_site_label
_atom_site_fract_x
_atom_site_fract_y
_atom_site_fract_z
Be1 0.051 0.250 0.431
Be2 0.313 0.750 0.462
Se1 0.336 0.250 0.247


# 15
# GGA-PBE Hg2Se, relaxed
# **Formation energy without anion corrections**: 0.045 eV/atom
# **VASP energy**: -1.3174 eV/atom
# **DOS(E_F)**: 1.97 states/eV/cell
data_Hg2Se
_chemical_formula_sum 'Hg8 Se4'
_cell_length_a 3.865
_cell_length_b 3.877
_cell_length_c 26.929
_cell_angle_alpha 90.00
_cell_angle_beta 90.00
_cell_angle_gamma 90.00
_space_group_name_H-M_alt 'I m m a'
_space_group_IT_number 74
_space_group_name_Hall '-I 2b 2'
loop_
_atom_site_label
_atom_site_fract_x
_atom_site_fract_y
_atom_site_fract_z
Hg1 0.000 0.250 0.082
Hg2 0.000 0.250 0.200
Se1 0.000 0.250 0.576


# 16
# GGA-PBE La2PSe, relaxed
# **Formation energy without anion corrections**: -1.326 eV/atom
# **VASP energy**: -6.0131 eV/atom
# **DOS(E_F)**: 7.75 states/eV/cell
data_La2PSe
_chemical_formula_sum 'La8 P4 Se4'
_cell_length_a 6.721
_cell_length_b 6.721
_cell_length_c 13.304
_cell_angle_alpha 90.00
_cell_angle_beta 90.00
_cell_angle_gamma 90.00
_space_group_name_H-M_alt 'I -4 2 d'
_space_group_IT_number 122
_space_group_name_Hall 'I -4 2bw'
loop_
_atom_site_label
_atom_site_fract_x
_atom_site_fract_y
_atom_site_fract_z
La1 0.232 0.250 0.125
P1 0.000 0.000 0.000
Se1 0.000 0.000 0.500


# 17
# GGA-PBE SmTmAs, relaxed
# **VASP energy**: -5.4465 eV/atom
# **DOS(E_F)**: 3.18 states/eV/cell
data_SmTmAs
_chemical_formula_sum 'Sm1 Tm1 As1'
_cell_length_a 3.9994
_cell_length_b 3.9994
_cell_length_c 6.4790
_cell_angle_alpha 90.00
_cell_angle_beta 90.00
_cell_angle_gamma 120.00
_space_group_name_H-M_alt 'P 3 m 1'
_space_group_IT_number 156
loop_
_space_group_symop_operation_xyz
'x,y,z'
'-y,x-y,z'
'-x+y,-x,z'
'-y,-x,z'
'-x+y,y,z'
'x,x-y,z'
loop_
_atom_site_label
_atom_site_fract_x
_atom_site_fract_y
_atom_site_fract_z
Sm1 0.0000 0.0000 0.0000
Tm1 0.3333 0.6667 0.5171
As1 0.6667 0.3333 0.2696


# 18
# GGA-PBE Fe2HgW2, relaxed
# **VASP energy**: -8.2428 eV/atom
# **DOS(E_F)**: 7.11 states/eV/cell
data_Fe2HgW2
_chemical_formula_sum 'Fe4 Hg2 W4'
_cell_length_a 7.269
_cell_length_b 7.269
_cell_length_c 2.792
_cell_angle_alpha 90.00
_cell_angle_beta 90.00
_cell_angle_gamma 90.00
_space_group_name_H-M_alt 'P 4/m b m'
_space_group_IT_number 127
_space_group_name_Hall '-P 4 2ab'
loop_
_atom_site_label
_atom_site_fract_x
_atom_site_fract_y
_atom_site_fract_z
Fe1 0.130 0.370 0.000
Hg1 0.000 0.000 0.000
W1 0.159 0.659 0.500


# 19
# GGA-PBE CeHoPuAl, relaxed
# **VASP energy**: -7.1608 eV/atom
# **DOS(E_F)**: 39.57 states/eV/cell
data_CeHoPuAl
_chemical_formula_sum 'Ce4 Ho4 Pu4 Al4'
_cell_length_a 7.343
_cell_length_b 7.343
_cell_length_c 7.343
_cell_angle_alpha 90.00
_cell_angle_beta 90.00
_cell_angle_gamma 90.00
_space_group_name_H-M_alt 'F -4 3 m'
_space_group_IT_number 216
_space_group_name_Hall 'F -4 2 3'
loop_
_atom_site_label
_atom_site_fract_x
_atom_site_fract_y
_atom_site_fract_z
Ce1 0.000 0.000 0.000
Ho1 0.250 0.250 0.250
Pu1 0.250 0.250 0.750
Al1 0.000 0.000 0.500


# 20
# GGA-PBE HfMn2Ga2, relaxed
# **VASP energy**: -6.8855 eV/atom
# **DOS(E_F)**: 6.37 states/eV/cell
data_HfMn2Ga2
_chemical_formula_sum 'Hf2 Mn4 Ga4'
_cell_length_a 3.994
_cell_length_b 3.994
_cell_length_c 9.796
_cell_angle_alpha 90.00
_cell_angle_beta 90.00
_cell_angle_gamma 90.00
_space_group_name_H-M_alt 'I 4/m m m'
_space_group_IT_number 139
_space_group_name_Hall '-I 4 2'
loop_
_atom_site_label
_atom_site_fract_x
_atom_site_fract_y
_atom_site_fract_z
Hf1 0.000 0.000 0.000
Mn1 0.000 0.000 0.400
Ga1 0.000 0.500 0.250